# 1
Material: Pm2TmPt2
Method: DFT, PBE
State: relaxed

E_form   -1.005 eV/atom
Total magnetic moment   0.0 μB per formula unit
Raw total energy   -6.22 eV/atom

a = 7.7698 Å, b = 7.7698 Å, c = 4.1132 Å
α = 90.00°, β = 90.00°, γ = 90.00°
Last column: nearest neighbours and their distance in Å.
Positions (direct):
Pm  0.1635  0.3366  0.0000  6 Pt 2.98-3.13
Pm  0.3366  0.8366  0.0000  6 Pt 2.98-3.13
Pm  0.6634  0.1635  0.0000  6 Pt 2.98-3.13
Pm  0.8366  0.6634  0.0000  6 Pt 2.98-3.13
Tm  0.0000  0.0000  0.5000  4 Pt 3.00
Tm  0.5000  0.5000  0.5000  4 Pt 3.00
Pt  0.1397  0.6397  0.5000  6 Pm 2.98-3.13, 2 Tm 3.00, 1 Pt 3.07
Pt  0.3603  0.1397  0.5000  6 Pm 2.98-3.13, 2 Tm 3.00, 1 Pt 3.07
Pt  0.6397  0.8603  0.5000  6 Pm 2.98-3.13, 2 Tm 3.00, 1 Pt 3.07
Pt  0.8603  0.3603  0.5000  6 Pm 2.98-3.13, 2 Tm 3.00, 1 Pt 3.07

---

# 2
Material: ZnCu2Au
Method: DFT, PBE
State: relaxed

E_form   -0.088 eV/atom
Total magnetic moment   0.0 μB per formula unit
Raw total energy   -3.27 eV/atom

a = 2.8716 Å, b = 3.4936 Å, c = 5.6424 Å
α = 90.00°, β = 90.46°, γ = 90.00°
Last column: nearest neighbours and their distance in Å.
Positions (direct):
Zn  0.0000  0.0000  0.0000  5 Cu 2.54-2.62, 4 Au 2.74-2.76
Cu  0.4984  0.5000  0.2320  6 Cu 2.57-2.87, 4 Zn 2.60-2.62, 2 Au 2.77-2.87
Cu  0.9982  0.0000  0.4505  1 Zn 2.54, 4 Cu 2.57-2.58, 4 Au 2.73-2.74
Au  0.5008  0.5000  0.7228  6 Cu 2.73-2.87, 4 Zn 2.74-2.76, 2 Au 2.87

---

# 3
Material: TaReSi2
Method: DFT, PBE
State: relaxed

Total magnetic moment   0.0 μB per formula unit
Raw total energy   -8.82 eV/atom
ΔE_f (raw)   -0.0286 eV/atom

a = 3.3366 Å, b = 3.8697 Å, c = 4.6007 Å
α = 90.00°, β = 90.00°, γ = 90.00°
Last column: nearest neighbours and their distance in Å.
Positions (direct):
Ta  0.0000  0.0000  0.0000  4 Si 2.55, 4 Re 2.84
Re  0.5000  0.0000  0.5000  4 Si 2.55, 4 Ta 2.84
Si  0.0000  0.5000  0.5000  4 Re 2.55, 4 Si 2.84
Si  0.5000  0.5000  0.0000  4 Ta 2.55, 4 Si 2.84

---

Among the records above, which one has the lowest raw total energy? TaReSi2

---

Please write out number 3 again, unchanged.
Material: TaReSi2
Method: DFT, PBE
State: relaxed

Total magnetic moment   0.0 μB per formula unit
Raw total energy   -8.82 eV/atom
ΔE_f (raw)   -0.0286 eV/atom

a = 3.3366 Å, b = 3.8697 Å, c = 4.6007 Å
α = 90.00°, β = 90.00°, γ = 90.00°
Last column: nearest neighbours and their distance in Å.
Positions (direct):
Ta  0.0000  0.0000  0.0000  4 Si 2.55, 4 Re 2.84
Re  0.5000  0.0000  0.5000  4 Si 2.55, 4 Ta 2.84
Si  0.0000  0.5000  0.5000  4 Re 2.55, 4 Si 2.84
Si  0.5000  0.5000  0.0000  4 Ta 2.55, 4 Si 2.84

---

Among the records above, which one has the highest raw total energy? ZnCu2Au

---

Which value of total magnetic moment does entry 3 give? 0.0 μB per formula unit